[1]
## BaAl (PBE-GGA)

Data for crystalline BaAl at its relaxed geometry.

It has space group F-43m (No. 216), with a = 7.757 Å, b = 7.757 Å, c = 7.757 Å, α = 90.00°, β = 90.00° and γ = 90.00°. The distinct sites, in fractional coordinates, are Ba at (0.000, 0.000, 0.000) and Al at (0.250, 0.250, 0.250).

The value obtained for the calculated formation energy is 794 meV/atom. The total magnetization comes out at 3.5 μB per cell.

[2]
## BaAl (PBE-GGA)

Data for crystalline BaAl at its relaxed geometry.

It has space group Imma (No. 74), with a = 4.425 Å, b = 5.816 Å, c = 10.591 Å, α = 90.00°, β = 90.00° and γ = 90.00°. The distinct sites, in fractional coordinates, are Ba at (0.000, 0.250, 0.094) and Al at (0.000, 0.250, 0.684).

The value obtained for the calculated formation energy is -137 meV/atom. The total magnetization comes out at 0.0 μB per cell.

Q: The highest calculated formation energy belongs to which entry?
A: number 1

Q: Number 1 is which compound?
A: BaAl

Q: Look up the calculated formation energy of the first one.
A: 794 meV/atom

Q: Look up the calculated formation energy of the first one.
A: 794 meV/atom